Record 1
Pm6NdTl4: optimized geometry, PBE.

Computed properties:
Space group: I-42m (121)
Total DFT energy (no corrections), eV per atom: -3.9594
DFT formation energy, eV/atom: -0.074
Spin magnetization, μB per formula unit: 0.00

abc: 8.2288 8.2288 8.2288
angles: 121.96 121.96 86.64
Fractional coordinates of all 11 atoms:
Pm  0.0000  0.5000  0.5000
Pm  0.0979  0.0979  0.6261
Pm  0.4718  0.4718  0.3739
Pm  0.5000  0.0000  0.5000
Pm  0.5282  0.9021  0.0000
Pm  0.9021  0.5282  0.0000
Nd  0.0000  0.0000  0.0000
Tl  0.2635  0.5987  0.0000
Tl  0.4013  0.4013  0.6648
Tl  0.5987  0.2635  0.0000
Tl  0.7365  0.7365  0.3352

---

Record 2
Pm2NdTl3: optimized geometry, PBE.

Computed properties:
Space group: Cmcm (63)
Total DFT energy (no corrections), eV per atom: -3.8132
DFT formation energy, eV/atom: -0.252
Spin magnetization, μB per formula unit: 0.00

abc: 14.8776 14.8776 6.8085
angles: 90.00 90.00 165.50
Fractional coordinates of all 12 atoms:
Pm  0.0062  0.9938  0.7500
Pm  0.1499  0.8501  0.2500
Pm  0.8501  0.1499  0.7500
Pm  0.9938  0.0062  0.2500
Nd  0.3304  0.6696  0.2500
Nd  0.6696  0.3304  0.7500
Tl  0.2591  0.7409  0.7500
Tl  0.4240  0.5760  0.5099
Tl  0.4240  0.5760  0.9901
Tl  0.5760  0.4240  0.0099
Tl  0.5760  0.4240  0.4901
Tl  0.7409  0.2591  0.2500

---

Record 3
PmNd4Tl: optimized geometry, PBE.

Computed properties:
Space group: P4/mmm (123)
Total DFT energy (no corrections), eV per atom: -4.4000
DFT formation energy, eV/atom: -0.035
Spin magnetization, μB per formula unit: 0.00

abc: 4.2309 4.2309 11.0546
angles: 90.00 90.00 90.00
Fractional coordinates of all 6 atoms:
Pm  0.0000  0.0000  0.0000
Nd  0.0000  0.0000  0.3506
Nd  0.0000  0.0000  0.6494
Nd  0.5000  0.5000  0.1685
Nd  0.5000  0.5000  0.8315
Tl  0.5000  0.5000  0.5000

---

Record 4
Pm6Nd8Tl: optimized geometry, PBE.

Computed properties:
Space group: P-3 (147)
Total DFT energy (no corrections), eV per atom: -4.5330
DFT formation energy, eV/atom: 0.068
Spin magnetization, μB per formula unit: 0.00

abc: 9.5028 9.5028 6.6496
angles: 90.00 90.00 120.00
Fractional coordinates of all 15 atoms:
Pm  0.0935  0.6465  0.1688
Pm  0.3535  0.4470  0.1688
Pm  0.4470  0.0935  0.8312
Pm  0.5530  0.9065  0.1688
Pm  0.6465  0.5530  0.8312
Pm  0.9065  0.3535  0.8312
Nd  0.0408  0.7718  0.6807
Nd  0.2282  0.2691  0.6807
Nd  0.2691  0.0408  0.3193
Nd  0.3333  0.6667  0.6368
Nd  0.6667  0.3333  0.3632
Nd  0.7309  0.9592  0.6807
Nd  0.7718  0.7309  0.3193
Nd  0.9592  0.2282  0.3193
Tl  0.0000  0.0000  0.0000

---

Record 5
Pm2Nd3Tl2: optimized geometry, PBE.

Computed properties:
Space group: Immm (71)
Total DFT energy (no corrections), eV per atom: -4.2162
DFT formation energy, eV/atom: -0.139
Spin magnetization, μB per formula unit: 0.00

abc: 11.7875 11.7875 11.7875
angles: 161.68 153.73 32.21
Fractional coordinates of all 7 atoms:
Pm  0.0726  0.0726  0.0000
Pm  0.9274  0.9274  0.0000
Nd  0.2023  0.7023  0.5000
Nd  0.5000  0.5000  0.0000
Nd  0.7977  0.2977  0.5000
Tl  0.3509  0.8509  0.5000
Tl  0.6491  0.1491  0.5000

---

Record 6
PmNd2Tl: optimized geometry, PBE.

Computed properties:
Space group: Fm-3m (225)
Total DFT energy (no corrections), eV per atom: -4.2186
DFT formation energy, eV/atom: -0.055
Spin magnetization, μB per formula unit: 1.41

abc: 5.6243 5.6243 5.6243
angles: 60.00 60.00 60.00
Fractional coordinates of all 4 atoms:
Pm  0.0000  0.0000  0.0000
Nd  0.2500  0.2500  0.2500
Nd  0.7500  0.7500  0.7500
Tl  0.5000  0.5000  0.5000